No. 1
Material: Tb4Tl5Cd
Method: DFT, PBE
State: optimized geometry

Properties
ΔE to the lowest computed polymorph, eV/atom: 0.0000

abc: 5.0417 6.4952 9.4635
angles: 112.78 105.45 90.00
Positions (direct):
Tb1 0.9118 0.1757 0.8235
Tl1 0.1032 0.3430 0.2064
Tl2 0.2958 0.2073 0.5917
Tb2 0.0882 0.8243 0.1765
Tl3 0.5000 0.5000 0.0000
Tb3 0.6994 0.2807 0.3988
Tl4 0.7042 0.7927 0.4083
Tl5 0.8968 0.6570 0.7936
Cd1 0.5000 0.0000 0.0000
Tb4 0.3006 0.7193 0.6012

No. 2
Material: RbCd6Hg12
Method: DFT, PBE
State: optimized geometry

Properties
ΔE to the lowest computed polymorph, eV/atom: 0.0061

abc: 8.3976 8.3976 8.3976
angles: 103.78 103.78 103.78
Positions (direct):
Hg1 0.3897 0.1400 0.3897
Cd1 0.7087 0.2851 0.2851
Hg2 0.5000 0.8891 0.1109
Hg3 0.8891 0.1109 0.5000
Cd2 0.2913 0.7149 0.7149
Hg4 0.6103 0.6103 0.8600
Cd3 0.7149 0.7149 0.2913
Cd4 0.2851 0.2851 0.7087
Cd5 0.2851 0.7087 0.2851
Hg5 0.3897 0.3897 0.1400
Hg6 0.1109 0.5000 0.8891
Hg7 0.6103 0.8600 0.6103
Hg8 0.1400 0.3897 0.3897
Rb1 0.0000 0.0000 0.0000
Hg9 0.8600 0.6103 0.6103
Hg10 0.5000 0.1109 0.8891
Hg11 0.8891 0.5000 0.1109
Cd6 0.7149 0.2913 0.7149
Hg12 0.1109 0.8891 0.5000

No. 3
Material: Tl2NiMo
Method: DFT, PBE
State: optimized geometry

Properties
ΔE to the lowest computed polymorph, eV/atom: 0.2038

abc: 4.5537 4.5548 3.5231
angles: 90.00 90.00 90.00
Positions (direct):
Ni1 0.0000 0.5000 0.5000
Tl1 0.0000 0.0000 0.0000
Tl2 0.5000 0.5000 0.0000
Mo1 0.5000 0.0000 0.5000

No. 4
Material: La4Tb3TmTe8
Method: DFT, PBE
State: optimized geometry

Properties
Final energy, eV/atom: -5.39

abc: 8.8771 8.9965 8.8771
angles: 119.56 120.00 90.00
Positions (direct):
Tm1 0.0000 0.5000 0.0000
Te1 0.2424 0.7322 0.4849
La1 0.5000 0.0000 0.5000
La2 0.5000 0.0000 0.0000
La3 0.0000 0.0000 0.0000
Te2 0.7448 0.7345 0.4896
La4 0.0000 0.0000 0.5000
Te3 0.7576 0.2678 0.5151
Te4 0.2527 0.2679 0.0103
Tb1 0.0000 0.5000 0.5000
Tb2 0.5000 0.5000 0.5000
Tb3 0.5000 0.5000 0.0000
Te5 0.2424 0.7321 0.9897
Te6 0.7473 0.7321 0.9897
Te7 0.7576 0.2679 0.0103
Te8 0.2552 0.2655 0.5104

No. 5
Material: LiAl2Cr4
Method: DFT, PBE
State: optimized geometry

Properties
Final energy, eV/atom: -5.99

abc: 4.1705 4.1705 7.2024
angles: 73.17 73.17 90.00
Last column: magnetic moment on the atom in μB.
Positions (direct):
Cr1 0.5000 0.0000 0.0000  -2.77
Cr2 0.0000 0.5000 0.0000  -2.77
Cr3 0.8294 0.8294 0.3412  3.39
Al1 0.6254 0.6254 0.7492  -0.04
Cr4 0.1706 0.1706 0.6589  3.39
Al2 0.3746 0.3746 0.2508  -0.04
Li1 0.0000 0.0000 0.0000  -0.12

No. 6
Material: Ba2ZrHg2
Method: DFT, PBE
State: optimized geometry

Properties
Final energy, eV/atom: -2.63

abc: 7.8151 7.8151 5.6286
angles: 90.00 90.00 90.00
Positions (direct):
Ba1 0.3226 0.1774 0.5000
Ba2 0.6774 0.8226 0.5000
Zr1 0.5000 0.5000 0.0000
Hg1 0.1409 0.3591 0.0000
Zr2 0.0000 0.0000 0.0000
Ba3 0.1774 0.6774 0.5000
Hg2 0.8591 0.6409 0.0000
Ba4 0.8226 0.3226 0.5000
Hg3 0.6409 0.1409 0.0000
Hg4 0.3591 0.8591 0.0000

No. 7
Material: CoNiS
Method: DFT, PBE
State: optimized geometry

Properties
ΔE to the lowest computed polymorph, eV/atom: 0.1065

abc: 3.1797 3.5942 3.5942
angles: 120.00 90.00 90.00
Positions (direct):
Co1 0.2016 0.3333 0.6667
Ni1 0.7131 0.6667 0.3333
S1 0.0852 0.0000 0.0000

No. 8
Material: YRu
Method: DFT, PBE
State: optimized geometry

Properties
Final energy, eV/atom: -7.65

abc: 10.6242 10.6242 3.1518
angles: 90.00 90.00 90.00
Positions (direct):
Y1 0.8871 0.1923 0.0000
Y2 0.6804 0.6355 0.5000
Y3 0.8077 0.8871 0.0000
Ru1 0.5709 0.8930 0.5000
Ru2 0.6324 0.0908 0.0000
Ru3 0.0908 0.3676 0.0000
Ru4 0.8930 0.4291 0.5000
Ru5 0.9092 0.6324 0.0000
Y4 0.1129 0.8077 0.0000
Ru6 0.4291 0.1070 0.5000
Y5 0.1923 0.1129 0.0000
Y6 0.3645 0.6804 0.5000
Ru7 0.3676 0.9092 0.0000
Y7 0.3196 0.3645 0.5000
Ru8 0.1070 0.5709 0.5000
Y8 0.6355 0.3196 0.5000

No. 9
Material: RbPaCl6
Method: DFT, PBE
State: optimized geometry

Properties
ΔE to the lowest computed polymorph, eV/atom: 0.0000

abc: 6.7530 8.1894 6.7838
angles: 52.87 81.85 76.42
Positions (direct):
Cl1 0.6288 0.7699 0.0000
Cl2 0.2382 0.4653 0.3302
Cl3 0.2382 0.7955 0.6698
Cl4 0.7618 0.2045 0.3302
Rb1 0.0000 0.0000 0.0000
Cl5 0.3712 0.2301 0.0000
Cl6 0.7618 0.5347 0.6698
Pa1 0.5000 0.5000 0.0000

No. 10
Material: Sr2CaSn9
Method: DFT, PBE
State: optimized geometry

Properties
Final energy, eV/atom: -3.84

abc: 4.8329 4.8329 14.4648
angles: 90.00 90.00 90.00
Positions (direct):
Sr1 0.0000 0.0000 0.3310
Sn1 0.5000 0.0000 0.5000
Sn2 0.5000 0.5000 0.3316
Sn3 0.5000 0.0000 0.8383
Sn4 0.0000 0.5000 0.1617
Sn5 0.5000 0.0000 0.1617
Sn6 0.5000 0.5000 0.6684
Sr2 0.0000 0.0000 0.6690
Sn7 0.0000 0.5000 0.8383
Sn8 0.5000 0.5000 0.0000
Sn9 0.0000 0.5000 0.5000
Ca1 0.0000 0.0000 0.0000

No. 11
Material: AsPtPb2
Method: DFT, PBE
State: optimized geometry

Properties
Final energy, eV/atom: -4.47

abc: 3.4261 3.4243 8.0026
angles: 90.00 90.00 90.00
Positions (direct):
Pb1 0.0000 0.0000 0.4724
As1 0.5000 0.5000 0.7500
Pb2 0.0000 0.0000 0.0276
Pt1 0.5000 0.5000 0.2500

No. 12
Material: ErBOs
Method: DFT, PBE
State: optimized geometry

Properties
ΔE to the lowest computed polymorph, eV/atom: 0.2447

abc: 3.0069 3.0069 5.3557
angles: 106.30 106.30 90.00
Positions (direct):
B1 0.7096 0.7096 0.4192
Er1 0.0046 0.0046 0.0093
Os1 0.2857 0.2857 0.5715

No. 13
Material: RbBaSr2Cd
Method: DFT, PBE
State: optimized geometry

Properties
Final energy, eV/atom: -1.45

abc: 6.6313 6.6313 6.7789
angles: 90.00 90.00 90.00
Positions (direct):
Rb1 0.5000 0.5000 0.5000
Sr1 0.5000 0.0000 0.0000
Sr2 0.0000 0.5000 0.0000
Ba1 0.0000 0.0000 0.5000
Cd1 0.0000 0.0000 0.0000

No. 14
Material: Pm3Sm5In2
Method: DFT, PBE
State: optimized geometry

Properties
Final energy, eV/atom: -4.27

abc: 6.5583 10.6901 10.6901
angles: 93.67 72.14 72.14
Positions (direct):
Pm1 0.6153 0.6458 0.1235
Sm1 0.7500 0.5000 0.5000
Pm2 0.8847 0.8765 0.3542
Pm3 0.3847 0.3542 0.8765
Pm4 0.7500 0.0000 0.0000
Pm5 0.2500 0.0000 0.0000
In1 0.1319 0.7220 0.0143
Sm2 0.5010 0.7490 0.7490
Sm3 0.2500 0.5000 0.5000
In2 0.6319 0.0143 0.7220
Sm4 0.4990 0.2510 0.2510
Pm6 0.1153 0.1235 0.6458
Sm5 0.0010 0.7490 0.7490
In3 0.8681 0.2780 0.9857
Sm6 0.3749 0.7876 0.4625
Sm7 0.8749 0.4625 0.7876
In4 0.3681 0.9857 0.2780
Sm8 0.6251 0.2124 0.5375
Sm9 0.9990 0.2510 0.2510
Sm10 0.1251 0.5375 0.2124

No. 15
Material: Ac6PbO12
Method: DFT, PBE
State: optimized geometry

Properties
Final energy, eV/atom: -7.39

abc: 7.1640 7.1640 7.1640
angles: 98.92 98.92 98.92
Last column: magnetic moment on the atom in μB.
Positions (direct):
Ac1 0.3965 0.8613 0.7060  0.01
O1 0.8231 0.4073 0.5569  0.19
O2 0.4073 0.5569 0.8231  0.19
O3 0.5569 0.8231 0.4073  0.19
O4 0.9493 0.0629 0.3041  0.11
Ac2 0.6035 0.1387 0.2940  0.01
O5 0.0507 0.9371 0.6959  0.11
O6 0.3041 0.9493 0.0629  0.11
O7 0.6959 0.0507 0.9371  0.11
Ac3 0.2940 0.6035 0.1387  0.01
Pb1 0.0000 0.0000 0.0000  -0.01
Ac4 0.8613 0.7060 0.3965  0.01
O8 0.5927 0.4431 0.1769  0.19
O9 0.1769 0.5927 0.4431  0.19
O10 0.4431 0.1769 0.5927  0.19
O11 0.9371 0.6959 0.0507  0.11
O12 0.0629 0.3041 0.9493  0.11
Ac5 0.1387 0.2940 0.6035  0.01
Ac6 0.7060 0.3965 0.8613  0.01

No. 16
Material: CsCl
Method: DFT, PBE
State: optimized geometry

Properties
Final energy, eV/atom: -3.30

abc: 4.9133 4.9133 8.4017
angles: 90.00 90.00 120.00
Positions (direct):
Cl1 0.0000 0.0000 0.5000
Cs1 0.3333 0.6667 0.7500
Cs2 0.6667 0.3333 0.2500
Cl2 0.0000 0.0000 0.0000

No. 17
Material: Si2PW
Method: DFT, PBE
State: optimized geometry

Properties
Final energy, eV/atom: -6.59

abc: 5.7402 5.7402 6.3561
angles: 63.16 63.16 90.00
Positions (direct):
Si1 0.3750 0.3966 0.7500
Si2 0.6034 0.1250 0.2500
Si3 0.1466 0.6250 0.2500
W1 0.0000 0.0000 0.0000
Si4 0.8750 0.8534 0.7500
P1 0.2500 0.7500 0.5000
P2 0.5000 0.5000 0.0000
W2 0.7500 0.2500 0.5000

No. 18
Material: SrMgSi2
Method: DFT, PBE
State: optimized geometry

Properties
Final energy, eV/atom: -3.51

abc: 4.3014 4.5215 4.5215
angles: 90.00 90.00 90.00
Positions (direct):
Sr1 0.5000 0.5000 0.0000
Si1 0.0000 0.0000 0.0000
Mg1 0.5000 0.0000 0.5000
Si2 0.0000 0.5000 0.5000